This record from the Alexandria database describes CsScIn2 after structural relaxation. The functional is PBE.

```
data_CsScIn2
_chemical_formula_sum 'Cs1 Sc1 In2'
_space_group_name_H-M_alt 'P 1'
_space_group_IT_number 1
_cell_length_a 3.742
_cell_length_b 3.742
_cell_length_c 9.098
_cell_angle_alpha 90.00
_cell_angle_beta 90.00
_cell_angle_gamma 90.00
loop_
_space_group_symop_operation_xyz
'x,y,z'
loop_
_atom_site_label
_atom_site_type_symbol
_atom_site_fract_x
_atom_site_fract_y
_atom_site_fract_z
_atom_site_occupancy
Cs1 Cs 0.000 0.000 0.000 1
Sc1 Sc 0.000 0.000 0.500 1
In1 In 0.500 0.500 0.324 1
In2 In 0.500 0.500 0.676 1
```

**Calculated volume**: 127 Å³ per cell
**Space-group type**: P4/mmm (123)
**Crystal system**: tetragonal
**Energy of formation from the pure elements**: -0.1585 eV per atom
**Fermi-level density of states**: 3.26 states/eV per cell